Crystalline CuPtW2 at its relaxed geometry. Source: Alexandria via LeMat-Bulk, functional PBE.

The structure in extended XYZ format:
```
4
Lattice="-2.943 5.126 1.019 -1.623 -4.155 2.130 0.322 1.121 2.428" Properties=species:S:1:pos:R:3 pbc="T T T"
Cu -0.651 -1.517 2.279
Pt -2.283 0.485 1.575
W 0.000 0.000 0.000
W -1.311 3.123 1.724
```

Computed properties:
energy of formation	0.36	eV per formula unit
calculated density	17.35	Mg/m³
crystal system	orthorhombic
spin magnetization	0.000	μB/atom